# 1
The following is a PBE calculation of a geometry-optimized PrNdZn2 structure, from Alexandria.

a b c (Å): 7.390 7.390 7.390
angles (deg): 90.00 90.00 90.00
Space group Fm-3m (No. 225)
Symmetry-distinct sites (fractional):
Pr (0.000, 0.000, 0.000) x4
Nd (0.000, 0.000, 0.500) x4
Zn (0.250, 0.250, 0.250) x8

Computed properties:
Energy above the most stable polymorph in this dataset   0 meV per atom

***

# 2
The following is a PBE calculation of a geometry-optimized PrNd3Zn4 structure, from Alexandria.

a b c (Å): 5.211 5.211 7.409
angles (deg): 90.00 90.00 90.00
Space group P4/mmm (No. 123)
Symmetry-distinct sites (fractional):
Pr (0.000, 0.000, 0.000) x1
Nd (0.000, 0.000, 0.500) x1
Nd (0.500, 0.500, 0.000) x1
Nd (0.500, 0.500, 0.500) x1
Zn (0.000, 0.500, 0.252) x4

***

# 3
The following is a PBE calculation of a geometry-optimized Pr2Nd8Zn structure, from Alexandria.

a b c (Å): 18.148 5.725 7.571
angles (deg): 90.00 109.01 90.00
Space group C2/m (No. 12)
Symmetry-distinct sites (fractional):
Pr (0.184, 0.000, 0.169) x4
Nd (0.013, 0.000, 0.278) x4
Nd (0.102, 0.500, 0.923) x4
Nd (0.156, 0.500, 0.438) x4
Nd (0.185, 0.000, 0.729) x4
Zn (0.000, 0.500, 0.500) x2

Computed properties:
Energy above the most stable polymorph in this dataset   61 meV per atom

***

# 4
The following is a PBE calculation of a geometry-optimized Pr5Nd4Zn structure, from Alexandria.

a b c (Å): 3.715 3.715 24.531
angles (deg): 90.00 90.00 90.00
Space group P4/mmm (No. 123)
Symmetry-distinct sites (fractional):
Pr (0.000, 0.000, 0.000) x1
Pr (0.000, 0.000, 0.213) x2
Pr (0.000, 0.000, 0.425) x2
Nd (0.500, 0.500, 0.106) x2
Nd (0.500, 0.500, 0.318) x2
Zn (0.500, 0.500, 0.500) x1

***

# 5
The following is a PBE calculation of a geometry-optimized PrNd2Zn4 structure, from Alexandria.

a b c (Å): 5.323 5.323 12.883
angles (deg): 90.00 90.00 90.00
Space group I4/mmm (No. 139)
Symmetry-distinct sites (fractional):
Pr (0.000, 0.000, 0.000) x2
Nd (0.000, 0.000, 0.281) x4
Zn (0.000, 0.500, 0.109) x8

***

# 6
The following is a PBE calculation of a geometry-optimized Pr3Nd2Zn3 structure, from Alexandria.

a b c (Å): 3.763 5.382 22.196
angles (deg): 90.00 90.00 90.00
Space group Immm (No. 71)
Symmetry-distinct sites (fractional):
Pr (0.000, 0.000, 0.000) x2
Pr (0.000, 0.500, 0.116) x4
Nd (0.000, 0.000, 0.229) x4
Zn (0.000, 0.000, 0.500) x2
Zn (0.000, 0.500, 0.384) x4

***

| no. | energy relative to the elements (meV per atom) |
| --- | --- |
| 1 | -308 |
| 2 | -307 |
| 3 | 51 |
| 4 | -53 |
| 5 | -135 |
| 6 | -215 |